The following is a GGA-PBE calculation of a relaxed structure of Sm6CoPd2, from the Alexandria database.

a = 6.646 Å, b = 7.398 Å, c = 12.023 Å
α = 90.00°, β = 122.41°, γ = 90.00°
Fractional positions:
Sm  0.105  0.035  0.250
Sm  0.105  0.465  0.750
Sm  0.239  0.682  0.067
Sm  0.239  0.818  0.567
Sm  0.394  0.180  0.064
Sm  0.394  0.320  0.564
Sm  0.606  0.680  0.436
Sm  0.606  0.820  0.936
Sm  0.761  0.182  0.433
Sm  0.761  0.318  0.933
Sm  0.895  0.535  0.250
Sm  0.895  0.965  0.750
Co  0.000  0.000  0.000
Co  0.000  0.500  0.500
Pd  0.316  0.114  0.757
Pd  0.316  0.386  0.257
Pd  0.684  0.614  0.743
Pd  0.684  0.886  0.243

Calculated values
Its uncorrected energy is -98.72 eV/cell. The value obtained for the formation energy is -0.39 eV/atom.